# ZnCoMo

ZnCoMo after structural relaxation (PBE, the Alexandria database).

Output
For the energy relative to the elements, the calculation gives 90 meV/atom. Its final energy is -6.313 eV per atom. Its relative energy among the computed polymorphs is 0.0576 eV per atom. The value obtained for the total magnetization is 0.0 μB/f.u.

Cell lengths 4.177, 4.177, 2.623 Å; angles 90.00, 90.00, 120.00 degrees
Positions (direct):
Zn: 0.667 0.333 0.772
Mo: 0.333 0.667 0.299
Co: 0.000 0.000 0.929